# BeAs3Se (PBE-GGA, relaxed)
data_BeAs3Se
_space_group_name_H-M_alt 'P m -3 m'
_space_group_IT_number 221
_space_group_name_Hall '-P 4 2 3'
_cell_length_a 4.9891
_cell_length_b 4.9891
_cell_length_c 4.9891
_cell_angle_alpha 90.00
_cell_angle_beta 90.00
_cell_angle_gamma 90.00
loop_
_atom_site_label
_atom_site_fract_x
_atom_site_fract_y
_atom_site_fract_z
Be1 0.0000 0.0000 0.0000
As1 0.0000 0.5000 0.5000
Se1 0.5000 0.5000 0.5000
# mass density	4.182	g/cm3
# formation energy without anion corrections	1.30	eV/atom
# raw total energy	-2.933	eV per atom
# polymorph energy (0 for the lowest one)	742	meV per atom